Record 1
This record from Alexandria describes crystalline SiTeAs2 at its relaxed geometry. The functional is PBE.

Unit cell a=4.774 b=3.770 c=5.694 alpha=90.00 beta=109.34 gamma=90.00
Space group Pm (No. 6)
Unique sites:
Si  0.000  0.000  0.000 x1
Te  0.161  0.500  0.734 x1
As  0.465  0.000  0.363 x1
As  0.679  0.500  0.167 x1

Results
- Offset from the most stable computed form: 3.9 kJ per mole of atoms
- Total DFT energy (no corrections): -17.1 eV for the cell shown
- Size of the total moment: 0.00 μB/cell
- Raw formation energy: 0.180 eV per atom
- Mass density: 5.2 Mg/m³


Record 2
This record from Alexandria describes crystalline Si2Te6As at its relaxed geometry. The functional is PBE.

Unit cell a=13.278 b=12.424 c=6.974 alpha=90.00 beta=100.72 gamma=90.00
Space group C2/c (No. 15)
Unique sites:
Si  0.191  0.080  0.326 x8
Te  0.115  0.410  0.648 x8
Te  0.122  0.095  0.646 x8
Te  0.130  0.241  0.108 x8
As  0.000  0.387  0.250 x4

Results
- Total DFT energy (no corrections): -134.6 eV for the cell shown
- Size of the total moment: 0.00 μB/cell
- Raw formation energy: 0.078 eV per atom
- Mass density: 5.3 Mg/m³


Record 3
This record from Alexandria describes crystalline SiTeAs2 at its relaxed geometry. The functional is PBE.

Unit cell a=6.751 b=6.751 c=9.173 alpha=90.00 beta=90.00 gamma=90.00
Space group I-42d (No. 122)
Unique sites:
Si  0.000  0.000  0.000 x4
Te  0.000  0.000  0.500 x4
As  0.195  0.250  0.125 x8

Results
- Offset from the most stable computed form: 10.5 kJ per mole of atoms
- Total DFT energy (no corrections): -67.5 eV for the cell shown
- Size of the total moment: 0.00 μB/cell
- Raw formation energy: 0.249 eV per atom
- Mass density: 4.9 Mg/m³


Record 4
This record from Alexandria describes crystalline SiTeAs2 at its relaxed geometry. The functional is PBE.

Unit cell a=3.953 b=3.953 c=5.844 alpha=90.00 beta=90.00 gamma=90.00
Space group P4mm (No. 99)
Unique sites:
Si  0.000  0.000  0.000 x1
Te  0.500  0.500  0.074 x1
As  0.000  0.000  0.582 x1
As  0.500  0.500  0.555 x1

Results
- Offset from the most stable computed form: 4.1 kJ per mole of atoms
- Total DFT energy (no corrections): -17.1 eV for the cell shown
- Size of the total moment: 0.00 μB/cell
- Raw formation energy: 0.182 eV per atom
- Mass density: 5.6 Mg/m³


Which formula does entry 2 have?
Si2Te6As


What did the fourth record say?
This record from Alexandria describes crystalline SiTeAs2 at its relaxed geometry. The functional is PBE.

Unit cell a=3.953 b=3.953 c=5.844 alpha=90.00 beta=90.00 gamma=90.00
Space group P4mm (No. 99)
Unique sites:
Si  0.000  0.000  0.000 x1
Te  0.500  0.500  0.074 x1
As  0.000  0.000  0.582 x1
As  0.500  0.500  0.555 x1

Results
- Offset from the most stable computed form: 4.1 kJ per mole of atoms
- Total DFT energy (no corrections): -17.1 eV for the cell shown
- Size of the total moment: 0.00 μB/cell
- Raw formation energy: 0.182 eV per atom
- Mass density: 5.6 Mg/m³


Which of these has the highest raw formation energy?
number 3